Material: HfCr2Ga2
Method: DFT, GGA-PBE
State: optimized geometry

Geometry as CIF:
```
data_HfCr2Ga2
_symmetry_space_group_name_H-M 'P 4/m b m'
_symmetry_Int_Tables_number 127
_symmetry_space_group_name_Hall '-P 4 2ab'
_cell_length_a 7.297
_cell_length_b 7.297
_cell_length_c 2.826
_cell_angle_alpha 90.00
_cell_angle_beta 90.00
_cell_angle_gamma 90.00
loop_
_atom_site_label
_atom_site_type_symbol
_atom_site_fract_x
_atom_site_fract_y
_atom_site_fract_z
Hf1 Hf 0.000 0.000 0.000
Cr1 Cr 0.104 0.396 0.000
Ga1 Ga 0.186 0.686 0.500
```

Output
The value obtained for the energy above the most stable polymorph in this dataset is 0.061 eV/atom. The calculation puts the formation enthalpy at 0 K at 0.0342 eV per atom. For the density of states at the Fermi level, the calculation gives 0.9232 states/eV per atom. The total magnetization comes out at 0.0 μB per cell. The value obtained for the raw total energy is -70.166 eV for the cell shown.



Material: La8PdPt3I4
Method: DFT, GGA-PBE
State: optimized geometry

Geometry as CIF:
```
data_La8PdPt3I4
_symmetry_space_group_name_H-M 'R -3 m'
_symmetry_Int_Tables_number 166
_symmetry_space_group_name_Hall '-R 3 2"'
_cell_length_a 8.6629
_cell_length_b 8.6629
_cell_length_c 24.7028
_cell_angle_alpha 90.00
_cell_angle_beta 90.00
_cell_angle_gamma 120.00
loop_
_atom_site_label
_atom_site_type_symbol
_atom_site_fract_x
_atom_site_fract_y
_atom_site_fract_z
La1 La 0.0000 0.0000 0.2293
La2 La 0.0030 0.5015 0.7703
Pd1 Pd 0.0000 0.0000 0.5000
Pt1 Pt 0.0000 0.5000 0.5000
I1 I 0.0000 0.0000 0.0000
I2 I 0.0000 0.5000 0.0000
```

Output
For the density of states at the Fermi level, the calculation gives 0.7655 states/eV per atom. For the formation energy without anion corrections, the calculation gives -1.156 eV/atom. The total magnetization comes out at 0.0 μB per cell. The value obtained for the raw total energy is -262.299 eV for the cell shown.